1.
Here is a relaxed Ba3Zr6BeCl18 crystal from Alexandria via LeMat-Bulk. Energies are from GGA-PBE.

## Properties
Magnetic moment: 0.0000 μB per atom
Formation energy (no corrections): -1.89 eV per atom

Unit cell a=9.865 b=9.865 c=18.708 alpha=74.71 beta=74.71 gamma=60.00
Positions (direct):
Ba (0.110, 0.110, 0.669)
Ba (0.610, 0.610, 0.169)
Ba (0.890, 0.890, 0.331)
Ba (0.250, 0.250, 0.250)
Ba (0.390, 0.390, 0.831)
Ba (0.750, 0.750, 0.750)
Zr (0.163, 0.990, 0.075)
Zr (0.772, 0.163, 0.075)
Zr (0.663, 0.272, 0.575)
Zr (0.837, 0.010, 0.925)
Zr (0.490, 0.663, 0.575)
Zr (0.990, 0.772, 0.075)
Zr (0.228, 0.837, 0.925)
Zr (0.728, 0.510, 0.425)
Zr (0.010, 0.228, 0.925)
Zr (0.272, 0.490, 0.575)
Zr (0.510, 0.337, 0.425)
Zr (0.337, 0.728, 0.425)
Be (0.500, 0.500, 0.500)
Be (0.000, 0.000, 0.000)
Cl (0.245, 0.657, 0.671)
Cl (0.864, 0.007, 0.658)
Cl (0.428, 0.245, 0.671)
Cl (0.971, 0.507, 0.158)
Cl (0.697, 0.075, 0.497)
Cl (0.471, 0.864, 0.658)
Cl (0.232, 0.575, 0.997)
Cl (0.928, 0.157, 0.171)
Cl (0.925, 0.268, 0.503)
Cl (0.529, 0.136, 0.342)
Cl (0.007, 0.471, 0.658)
Cl (0.636, 0.029, 0.842)
Cl (0.197, 0.232, 0.997)
Cl (0.732, 0.697, 0.497)
Cl (0.255, 0.072, 0.829)
Cl (0.745, 0.928, 0.171)
Cl (0.303, 0.925, 0.503)
Cl (0.572, 0.755, 0.329)
Cl (0.072, 0.843, 0.829)
Cl (0.755, 0.343, 0.329)
Cl (0.843, 0.255, 0.829)
Cl (0.768, 0.425, 0.003)
Cl (0.157, 0.745, 0.171)
Cl (0.425, 0.803, 0.003)
Cl (0.493, 0.636, 0.842)
Cl (0.803, 0.768, 0.003)
Cl (0.136, 0.993, 0.342)
Cl (0.507, 0.364, 0.158)
Cl (0.343, 0.572, 0.329)
Cl (0.268, 0.303, 0.503)
Cl (0.075, 0.732, 0.497)
Cl (0.575, 0.197, 0.997)
Cl (0.029, 0.493, 0.842)
Cl (0.657, 0.428, 0.671)
Cl (0.993, 0.529, 0.342)
Cl (0.364, 0.971, 0.158)

---

2.
Here is a relaxed BaZrBe2Cl crystal from Alexandria via LeMat-Bulk. Energies are from GGA-PBE.

## Properties
Magnetic moment: 0.1662 μB per atom
N(E_F): 5.6 states/eV/cell
Formation energy (no corrections): 0.85 eV per atom

Unit cell a=4.992 b=4.906 c=4.992 alpha=90.00 beta=90.00 gamma=90.00
Last column: magnetic moment on the atom in μB.
Positions (direct):
Be (0.000, 0.000, 0.500)  0.00
Be (0.500, 0.000, 0.000)  0.00
Ba (0.500, 0.500, 0.500)  0.08
Zr (0.000, 0.500, 0.000)  0.39
Cl (0.000, 0.000, 0.000)  0.01

---

3.
Here is a relaxed Ba2BeCo crystal from Alexandria via LeMat-Bulk. Energies are from GGA-PBE.

## Properties
Energy relative to the elements: 0.322 eV per atom
Magnetic moment: 0.0002 μB per atom
N(E_F): 3.9 states/eV/cell

Unit cell a=4.132 b=4.400 c=7.770 alpha=73.55 beta=90.00 gamma=90.00
Positions (direct):
Be (0.000, 0.650, 0.575)
Co (0.500, 0.607, 0.660)
Ba (0.000, 0.999, 0.877)
Ba (0.500, 0.244, 0.387)

---

4.
Here is a relaxed BaBeCo2 crystal from Alexandria via LeMat-Bulk. Energies are from GGA-PBE.

## Properties
Energy relative to the elements: 1.089 eV per atom
Magnetic moment: 0.3214 μB per atom
N(E_F): 6.9 states/eV/cell

Unit cell a=4.274 b=4.262 c=3.627 alpha=90.00 beta=90.00 gamma=90.00
Last column: magnetic moment on the atom in μB.
Positions (direct):
Be (0.000, 0.500, 0.500)  -0.04
Co (0.000, 0.000, 0.000)  0.78
Co (0.500, 0.500, 0.000)  0.77
Ba (0.500, 0.000, 0.500)  -0.08

---

5.
Here is a relaxed BaBeCo2 crystal from Alexandria via LeMat-Bulk. Energies are from GGA-PBE.

## Properties
Energy relative to the elements: 0.706 eV per atom
Magnetic moment: 0.7001 μB per atom
N(E_F): 6.2 states/eV/cell

Unit cell a=5.099 b=5.099 c=5.099 alpha=134.84 beta=110.21 gamma=87.10
Last column: magnetic moment on the atom in μB.
Positions (direct):
Be (0.250, 0.750, 0.500)  -0.07
Co (0.103, 0.103, 0.000)  1.50
Co (0.397, 0.397, 0.000)  1.50
Ba (0.750, 0.250, 0.500)  -0.04

---

6.
Here is a relaxed BaBeCo2 crystal from Alexandria via LeMat-Bulk. Energies are from GGA-PBE.

## Properties
Energy relative to the elements: 0.110 eV per atom
Magnetic moment: 0.4776 μB per atom
N(E_F): 2.8 states/eV/cell

Unit cell a=3.975 b=3.975 c=6.081 alpha=71.02 beta=71.02 gamma=59.99
Last column: magnetic moment on the atom in μB.
Positions (direct):
Be (0.321, 0.321, 0.037)  -0.08
Co (0.999, 0.999, 0.003)  1.21
Co (0.680, 0.680, 0.959)  1.22
Ba (0.501, 0.501, 0.501)  -0.10

---

7.
Here is a relaxed Ba2BeCo crystal from Alexandria via LeMat-Bulk. Energies are from GGA-PBE.

## Properties
Energy relative to the elements: 0.859 eV per atom
Magnetic moment: 0.3765 μB per atom
N(E_F): 9.2 states/eV/cell

Unit cell a=5.280 b=5.280 c=5.280 alpha=60.00 beta=60.00 gamma=60.00
Last column: magnetic moment on the atom in μB.
Positions (direct):
Be (0.500, 0.500, 0.500)  0.00
Co (0.750, 0.750, 0.750)  1.49
Ba (0.000, 0.000, 0.000)  0.00
Ba (0.250, 0.250, 0.250)  -0.01

---

8.
Here is a relaxed BaBeCo2 crystal from Alexandria via LeMat-Bulk. Energies are from GGA-PBE.

## Properties
Energy relative to the elements: 0.111 eV per atom
Magnetic moment: 0.4573 μB per atom
N(E_F): 3.1 states/eV/cell

Unit cell a=3.983 b=3.983 c=6.080 alpha=70.93 beta=70.93 gamma=59.98
Last column: magnetic moment on the atom in μB.
Positions (direct):
Be (0.250, 0.250, 0.250)  -0.08
Co (0.928, 0.928, 0.216)  1.16
Co (0.572, 0.572, 0.284)  1.16
Ba (0.750, 0.750, 0.750)  -0.10

---

9.
Here is a relaxed BaBeCo2 crystal from Alexandria via LeMat-Bulk. Energies are from GGA-PBE.

## Properties
Energy relative to the elements: 1.082 eV per atom
Magnetic moment: 0.4940 μB per atom
N(E_F): 4.7 states/eV/cell

Unit cell a=3.192 b=4.978 c=5.338 alpha=51.93 beta=90.00 gamma=90.00
Last column: magnetic moment on the atom in μB.
Positions (direct):
Be (0.000, 0.000, 0.500)  -0.04
Co (0.000, 0.000, 0.000)  1.13
Co (0.500, 0.500, 0.000)  1.17
Ba (0.500, 0.500, 0.500)  -0.11

---

10.
Here is a relaxed BaBeCo2 crystal from Alexandria via LeMat-Bulk. Energies are from GGA-PBE.

## Properties
Energy relative to the elements: 0.655 eV per atom
Magnetic moment: 0.5885 μB per atom
N(E_F): 4.0 states/eV/cell

Unit cell a=5.131 b=5.131 c=5.131 alpha=134.89 beta=110.00 gamma=87.26
Last column: magnetic moment on the atom in μB.
Positions (direct):
Be (0.142, 0.642, 0.500)  -0.07
Co (0.008, 0.008, 0.000)  1.41
Co (0.856, 0.356, 0.500)  1.41
Ba (0.494, 0.494, 0.000)  -0.10

---

11.
Here is a relaxed Ba4BeCo crystal from Alexandria via LeMat-Bulk. Energies are from GGA-PBE.

## Properties
Energy relative to the elements: 1.253 eV per atom
Magnetic moment: 0.0656 μB per atom
N(E_F): 10.7 states/eV/cell

Unit cell a=7.075 b=7.075 c=7.075 alpha=60.00 beta=60.00 gamma=60.00
Last column: magnetic moment on the atom in μB.
Positions (direct):
Ba (0.875, 0.375, 0.375)  -0.12
Ba (0.375, 0.375, 0.875)  -0.12
Ba (0.375, 0.875, 0.375)  -0.12
Ba (0.375, 0.375, 0.375)  -0.12
Be (0.750, 0.750, 0.750)  -0.03
Co (0.000, 0.000, 0.000)  2.02

---

12.
Here is a relaxed BaBeCo2 crystal from Alexandria via LeMat-Bulk. Energies are from GGA-PBE.

## Properties
Energy relative to the elements: 0.487 eV per atom
Magnetic moment: 0.7309 μB per atom
N(E_F): 3.5 states/eV/cell

Unit cell a=3.080 b=3.080 c=7.193 alpha=90.00 beta=90.00 gamma=90.01
Last column: magnetic moment on the atom in μB.
Positions (direct):
Be (0.500, 0.500, 0.854)  -0.04
Co (0.000, 0.000, 0.996)  1.56
Co (0.500, 0.500, 0.150)  1.62
Ba (0.000, 0.000, 0.500)  -0.05